*P*
The following is a DFT calculation (PBE) of an optimized crystal structure of DyEr5Tm3.

## Properties
Crystal system = monoclinic

Unit cell a=9.281 b=9.281 c=10.693 alpha=106.80 beta=106.80 gamma=48.05
Fractional positions:
Dy 0.248 0.752 0.750
Dy 0.752 0.248 0.250
Er 0.081 0.585 0.918
Er 0.085 0.583 0.414
Er 0.254 0.746 0.250
Er 0.415 0.919 0.582
Er 0.417 0.915 0.086
Er 0.583 0.085 0.914
Er 0.585 0.081 0.418
Er 0.746 0.254 0.750
Er 0.915 0.417 0.586
Er 0.919 0.415 0.082
Tm 0.000 0.000 0.000
Tm 0.000 0.000 0.500
Tm 0.329 0.337 0.666
Tm 0.337 0.329 0.166
Tm 0.663 0.671 0.834
Tm 0.671 0.663 0.334



*Q*
The following is a DFT calculation (PBE) of an optimized crystal structure of DyEr5Tm3.

## Properties
Crystal system = monoclinic

Unit cell a=9.025 b=9.025 c=11.571 alpha=123.42 beta=123.42 gamma=57.59
Fractional positions:
Dy 0.136 0.136 0.352
Dy 0.864 0.864 0.648
Er 0.066 0.705 0.173
Er 0.295 0.934 0.827
Er 0.319 0.681 0.000
Er 0.346 0.346 0.029
Er 0.444 0.444 0.600
Er 0.556 0.556 0.400
Er 0.654 0.654 0.971
Er 0.681 0.319 0.000
Er 0.705 0.066 0.173
Er 0.934 0.295 0.827
Tm 0.000 0.000 0.000
Tm 0.000 0.000 0.500
Tm 0.255 0.255 0.196
Tm 0.274 0.274 0.708
Tm 0.726 0.726 0.292
Tm 0.745 0.745 0.804



Which structure wins on stability? *Q* wins.



*P*
The following is a DFT calculation (PBE) of an optimized crystal structure of Dy8Er6Tm.

## Properties
Crystal system = trigonal

Unit cell a=9.291 b=9.291 c=6.476 alpha=90.00 beta=90.00 gamma=120.00
Fractional positions:
Dy 0.090 0.410 0.405
Dy 0.320 0.910 0.405
Dy 0.333 0.667 0.834
Dy 0.410 0.320 0.595
Dy 0.590 0.680 0.405
Dy 0.667 0.333 0.166
Dy 0.680 0.090 0.595
Dy 0.910 0.590 0.595
Er 0.022 0.690 0.102
Er 0.310 0.332 0.102
Er 0.332 0.022 0.898
Er 0.668 0.978 0.102
Er 0.690 0.668 0.898
Er 0.978 0.310 0.898
Tm 0.000 0.000 0.500



*Q*
The following is a DFT calculation (PBE) of an optimized crystal structure of Dy8Er6Tm.

## Properties
Crystal system = trigonal

Unit cell a=8.537 b=8.537 c=8.537 alpha=63.14 beta=63.14 gamma=63.14
Fractional positions:
Dy 0.077 0.077 0.077
Dy 0.221 0.610 0.245
Dy 0.245 0.221 0.610
Dy 0.390 0.755 0.779
Dy 0.610 0.245 0.221
Dy 0.755 0.779 0.390
Dy 0.779 0.390 0.755
Dy 0.923 0.923 0.923
Er 0.041 0.607 0.732
Er 0.268 0.959 0.393
Er 0.393 0.268 0.959
Er 0.607 0.732 0.041
Er 0.732 0.041 0.607
Er 0.959 0.393 0.268
Tm 0.500 0.500 0.500



Which structure wins on stability? *Q* wins.



*P*
The following is a DFT calculation (PBE) of an optimized crystal structure of Dy4Er5Tm.

## Properties
Crystal system = triclinic

Unit cell a=3.522 b=6.696 c=13.731 alpha=97.49 beta=90.28 gamma=104.96
Fractional positions:
Dy 0.126 0.205 0.308
Dy 0.176 0.326 0.711
Dy 0.824 0.674 0.289
Dy 0.874 0.795 0.692
Er 0.187 0.375 0.084
Er 0.465 0.919 0.115
Er 0.500 0.000 0.500
Er 0.535 0.081 0.885
Er 0.813 0.625 0.916
Tm 0.000 0.500 0.500



*Q*
The following is a DFT calculation (PBE) of an optimized crystal structure of Dy4Er5Tm.

## Properties
Crystal system = tetragonal

Unit cell a=7.792 b=7.792 c=7.792 alpha=99.12 beta=99.12 gamma=133.07
Fractional positions:
Dy 0.046 0.655 0.701
Dy 0.345 0.046 0.391
Dy 0.655 0.954 0.609
Dy 0.954 0.345 0.299
Er 0.269 0.353 0.623
Er 0.353 0.730 0.084
Er 0.646 0.269 0.916
Er 0.730 0.646 0.377
Er 0.769 0.769 0.000
Tm 0.232 0.232 0.000



Which structure wins on stability? *P* wins.